Material: NpHgW
Method: DFT, GGA-PBE
State: relaxed

energy relative to the elements: 1.72 eV/atom
energy: -6.955 eV/atom
magnetic moment: 0.450 μB per cell

a b c (Å): 6.675 6.675 6.675
angles (deg): 90.00 90.00 90.00
Space group F-43m (No. 216)
One atom of each set of equivalent atoms:
Np 0.000 0.000 0.000 x4
Hg 0.250 0.250 0.250 x4
W 0.000 0.000 0.500 x4


Material: YNpHg
Method: DFT, GGA-PBE
State: relaxed

polymorph energy (0 for the lowest one): 0.0 kJ per mole of atoms
energy relative to the elements: 0.44 eV/atom
energy: -6.072 eV/atom
magnetic moment: 21.188 μB per cell

a b c (Å): 7.214 7.214 7.214
angles (deg): 90.00 90.00 90.00
Space group F-43m (No. 216)
One atom of each set of equivalent atoms:
Y 0.000 0.000 0.000 x4
Np 0.000 0.000 0.500 x4
Hg 0.250 0.250 0.750 x4


Material: ZrNpHg
Method: DFT, GGA-PBE
State: relaxed

energy relative to the elements: 0.68 eV/atom
energy: -6.521 eV/atom
magnetic moment: 22.884 μB per cell

a b c (Å): 7.007 7.007 7.007
angles (deg): 90.00 90.00 90.00
Space group F-43m (No. 216)
One atom of each set of equivalent atoms:
Zr 0.000 0.000 0.000 x4
Np 0.000 0.000 0.500 x4
Hg 0.250 0.250 0.750 x4


Material: HgO
Method: DFT, GGA-PBE
State: relaxed

energy: -2.767 eV/atom

a b c (Å): 3.4748 3.4748 8.4239
angles (deg): 90.00 90.00 120.00
Space group R3m (No. 160, hexagonal axes)
One atom of each set of equivalent atoms:
Hg 0.0000 0.0000 0.0000 x3
O 0.0000 0.0000 0.5008 x3


Material: HgO
Method: DFT, GGA-PBE
State: relaxed

energy: -2.764 eV/atom

a b c (Å): 3.452 3.475 4.860
angles (deg): 90.00 90.00 90.00
Space group Immm (No. 71)
One atom of each set of equivalent atoms:
Hg 0.000 0.000 0.000 x2
O 0.000 0.000 0.500 x2


Material: HgO
Method: DFT, GGA-PBE
State: relaxed

energy: -2.766 eV/atom

a b c (Å): 3.407 3.428 5.028
angles (deg): 90.00 90.00 90.00
Space group Pmmn (No. 59, origin choice 2)
One atom of each set of equivalent atoms:
Hg 0.250 0.250 0.250 x2
O 0.250 0.250 0.749 x2


Material: HgO
Method: DFT, GGA-PBE
State: relaxed

energy: -2.711 eV/atom

a b c (Å): 3.3484 3.3484 5.9861
angles (deg): 90.00 90.00 120.00
Space group P6_3/mmc (No. 194)
One atom of each set of equivalent atoms:
Hg 0.3333 0.6667 0.2500 x2
O 0.0000 0.0000 0.0000 x2


Material: HgO2
Method: DFT, GGA-PBE
State: relaxed

energy: -2.836 eV/atom

a b c (Å): 5.348 5.348 5.348
angles (deg): 90.00 90.00 90.00
Space group Fm-3m (No. 225)
One atom of each set of equivalent atoms:
Hg 0.000 0.000 0.000 x4
O 0.250 0.250 0.250 x8


Material: HgO
Method: DFT, GGA-PBE
State: relaxed

energy: -2.809 eV/atom

a b c (Å): 5.261 5.261 5.261
angles (deg): 90.00 90.00 90.00
Space group F-43m (No. 216)
One atom of each set of equivalent atoms:
Hg 0.000 0.000 0.000 x4
O 0.250 0.250 0.750 x4


Material: HgO
Method: DFT, GGA-PBE
State: relaxed

energy: -2.657 eV/atom

a b c (Å): 3.2875 3.2875 3.0980
angles (deg): 90.00 90.00 120.00
Space group P-6m2 (No. 187)
One atom of each set of equivalent atoms:
Hg 0.0000 0.0000 0.0000 x1
O 0.6667 0.3333 0.5000 x1


Material: HgO
Method: DFT, GGA-PBE
State: relaxed

energy: -2.606 eV/atom

a b c (Å): 4.330 4.330 3.306
angles (deg): 90.00 90.00 90.00
Space group P4/nmm (No. 129, origin choice 2)
One atom of each set of equivalent atoms:
Hg 0.250 0.250 0.248 x2
O 0.250 0.750 0.000 x2


Material: HgO2
Method: DFT, GGA-PBE
State: relaxed

energy: -3.329 eV/atom

a b c (Å): 4.930 5.980 5.909
angles (deg): 90.00 90.00 90.00
Space group Pbca (No. 61)
One atom of each set of equivalent atoms:
Hg 0.000 0.000 0.000 x4
O 0.083 0.075 0.429 x8